Entry 1:
# RbNaSi2, relaxed, DFT GGA-PBE
data_RbNaSi2
_cell_length_a 7.5638
_cell_length_b 7.5638
_cell_length_c 7.5638
_cell_angle_alpha 90.00
_cell_angle_beta 90.00
_cell_angle_gamma 90.00
_space_group_name_H-M_alt 'F m -3 m'
_space_group_IT_number 225
_space_group_name_Hall '-F 4 2 3'
loop_
_atom_site_label
_atom_site_fract_x
_atom_site_fract_y
_atom_site_fract_z
_atom_site_occupancy
Rb1 0.0000 0.0000 0.0000 1
Na1 0.0000 0.0000 0.5000 1
Si1 0.2500 0.2500 0.2500 1
# **Energy relative to the lowest polymorph listed for this composition**: 695 meV/atom
# **Energy**: -2.518 eV per atom
# **Formation energy without anion corrections**: 295 kJ/mol of formula units
# **Volume**: 27.05 Å³ per atom
# **Crystal system**: cubic
# **DOS(E_F)**: 1.49 states/eV per cell

---

Entry 2:
# Ba6Pd3Br, relaxed, DFT GGA-PBE
data_Ba6Pd3Br
_cell_length_a 13.7744
_cell_length_b 4.6485
_cell_length_c 13.7990
_cell_angle_alpha 90.00
_cell_angle_beta 110.03
_cell_angle_gamma 90.00
_space_group_name_H-M_alt 'P 1 21/m 1'
_space_group_IT_number 11
_space_group_name_Hall '-P 2yb'
loop_
_atom_site_label
_atom_site_fract_x
_atom_site_fract_y
_atom_site_fract_z
_atom_site_occupancy
Ba1 0.0389 0.2500 0.3878 1
Ba2 0.0989 0.2500 0.9377 1
Ba3 0.2220 0.7500 0.2510 1
Ba4 0.2687 0.2500 0.7050 1
Ba5 0.4015 0.7500 0.5359 1
Ba6 0.4378 0.2500 0.1410 1
Pd1 0.0637 0.2500 0.1558 1
Pd2 0.1695 0.7500 0.5385 1
Pd3 0.4886 0.7500 0.3090 1
Br1 0.3470 0.7500 0.9291 1
# **Energy**: -3.534 eV per atom
# **Formation energy without anion corrections**: -632 kJ/mol of formula units
# **Volume**: 41.50 Å³ per atom
# **Crystal system**: monoclinic
# **DOS(E_F)**: 13.66 states/eV per cell

---

Entry 3:
# SrZnCu, relaxed, DFT GGA-PBE
data_SrZnCu
_cell_length_a 13.8101
_cell_length_b 8.7118
_cell_length_c 7.8278
_cell_angle_alpha 90.00
_cell_angle_beta 105.32
_cell_angle_gamma 90.00
_space_group_name_H-M_alt 'C 1 2/c 1'
_space_group_IT_number 15
_space_group_name_Hall '-C 2yc'
loop_
_atom_site_label
_atom_site_fract_x
_atom_site_fract_y
_atom_site_fract_z
_atom_site_occupancy
Sr1 0.0000 0.2343 0.2500 1
Sr2 0.2119 0.0596 0.6447 1
Zn1 0.0000 0.1329 0.7500 1
Zn2 0.1006 0.4750 0.5440 1
Cu1 0.0000 0.4096 0.7500 1
Cu2 0.1581 0.2755 0.9463 1
# **Energy**: -2.397 eV per atom
# **Energy of formation from the pure elements**: -0.0463 eV/atom
# **Volume**: 25.23 Å³ per atom
# **Crystal system**: monoclinic
# **DOS(E_F)**: 22.87 states/eV per cell

---

Entry 4:
# Y3Ga6Ni5, relaxed, DFT GGA-PBE
data_Y3Ga6Ni5
_cell_length_a 4.1236
_cell_length_b 12.4342
_cell_length_c 8.9210
_cell_angle_alpha 90.00
_cell_angle_beta 90.00
_cell_angle_gamma 90.00
_space_group_name_H-M_alt 'P m m n'
_space_group_IT_number 59
loop_
_space_group_symop_operation_xyz
'x,y,z'
'-x,-y,-z'
'-x+1/2,-y+1/2,z'
'x+1/2,y+1/2,-z'
'x+1/2,-y,-z'
'-x+1/2,y,z'
'-x,y+1/2,-z'
'x,-y+1/2,z'
loop_
_atom_site_label
_atom_site_fract_x
_atom_site_fract_y
_atom_site_fract_z
_atom_site_occupancy
Y1 0.2500 0.0506 0.2470 1
Y2 0.2500 0.7500 0.2621 1
Ga1 0.2500 0.0728 0.5905 1
Ga2 0.2500 0.2500 0.0365 1
Ga3 0.2500 0.2500 0.4170 1
Ga4 0.2500 0.5998 0.9814 1
Ni1 0.2500 0.0918 0.8691 1
Ni2 0.2500 0.6376 0.5419 1
Ni3 0.2500 0.7500 0.7821 1
# **Energy**: -5.346 eV per atom
# **Energy of formation from the pure elements**: -0.5988 eV/atom
# **Volume**: 16.34 Å³ per atom
# **Crystal system**: orthorhombic
# **DOS(E_F)**: 15.22 states/eV per cell

---

Entry 5:
# Rb2SbBr2, relaxed, DFT GGA-PBE
data_Rb2SbBr2
_cell_length_a 6.8198
_cell_length_b 6.8198
_cell_length_c 9.8099
_cell_angle_alpha 90.00
_cell_angle_beta 90.00
_cell_angle_gamma 90.00
_space_group_name_H-M_alt 'I 4/m m m'
_space_group_IT_number 139
_space_group_name_Hall '-I 4 2'
loop_
_atom_site_label
_atom_site_fract_x
_atom_site_fract_y
_atom_site_fract_z
_atom_site_occupancy
Rb1 0.0000 0.5000 0.2500 1
Sb1 0.0000 0.0000 0.0000 1
Br1 0.0000 0.0000 0.2965 1
# **Energy relative to the lowest polymorph listed for this composition**: 0 meV/atom
# **Energy**: -2.770 eV per atom
# **Formation energy without anion corrections**: -429 kJ/mol of formula units
# **Volume**: 45.63 Å³ per atom
# **Crystal system**: tetragonal
# **DOS(E_F)**: 16.33 states/eV per cell

---

Entry 6:
# NdSi2AgPt5, relaxed, DFT GGA-PBE
data_NdSi2AgPt5
_cell_length_a 4.0584
_cell_length_b 4.0584
_cell_length_c 10.9957
_cell_angle_alpha 90.00
_cell_angle_beta 90.00
_cell_angle_gamma 90.00
_space_group_name_H-M_alt 'P 4/m m m'
_space_group_IT_number 123
_space_group_name_Hall '-P 4 2'
loop_
_atom_site_label
_atom_site_fract_x
_atom_site_fract_y
_atom_site_fract_z
_atom_site_occupancy
Nd1 0.0000 0.0000 0.0000 1
Si1 0.5000 0.5000 0.2141 1
Ag1 0.0000 0.0000 0.5000 1
Pt1 0.0000 0.5000 0.3213 1
Pt2 0.5000 0.5000 0.0000 1
# **Energy**: -5.971 eV per atom
# **Formation energy without anion corrections**: -489 kJ/mol of formula units
# **Volume**: 20.12 Å³ per atom
# **Crystal system**: tetragonal
# **DOS(E_F)**: 2.69 states/eV per cell

---

Entry 7:
# Tl2AgMo, relaxed, DFT GGA-PBE
data_Tl2AgMo
_cell_length_a 4.3410
_cell_length_b 4.3410
_cell_length_c 19.5413
_cell_angle_alpha 90.00
_cell_angle_beta 90.00
_cell_angle_gamma 90.00
_space_group_name_H-M_alt 'I -4 2 d'
_space_group_IT_number 122
_space_group_name_Hall 'I -4 2bw'
loop_
_atom_site_label
_atom_site_fract_x
_atom_site_fract_y
_atom_site_fract_z
_atom_site_occupancy
Tl1 0.2385 0.2500 0.1250 1
Ag1 0.0000 0.0000 0.5000 1
Mo1 0.0000 0.0000 0.0000 1
# **Energy relative to the lowest polymorph listed for this composition**: 373 meV/atom
# **Energy**: -3.674 eV per atom
# **Energy of formation from the pure elements**: 0.9296 eV/atom
# **Volume**: 23.02 Å³ per atom
# **Crystal system**: tetragonal
# **DOS(E_F)**: 13.49 states/eV per cell

---

Entry 8:
# Er2AlGa3Cu12, relaxed, DFT GGA-PBE
data_Er2AlGa3Cu12
_cell_length_a 5.3470
_cell_length_b 5.3470
_cell_length_c 34.7539
_cell_angle_alpha 90.00
_cell_angle_beta 90.00
_cell_angle_gamma 120.00
_space_group_name_H-M_alt 'R -3 m'
_space_group_IT_number 166
_space_group_name_Hall '-R 3 2"'
loop_
_atom_site_label
_atom_site_fract_x
_atom_site_fract_y
_atom_site_fract_z
_atom_site_occupancy
Er1 0.0000 0.0000 0.1418 1
Al1 0.0000 0.0000 0.5000 1
Ga1 0.0000 0.5000 0.0000 1
Cu1 0.0048 0.5024 0.8885 1
Cu2 0.0202 0.5101 0.6097 1
# **Energy**: -3.944 eV per atom
# **Energy of formation from the pure elements**: 0.0064 eV/atom
# **Volume**: 15.94 Å³ per atom
# **Crystal system**: trigonal
# **DOS(E_F)**: 23.83 states/eV per cell

---

Entry 9:
# Pm5Pb2C, relaxed, DFT GGA-PBE
data_Pm5Pb2C
_cell_length_a 5.1627
_cell_length_b 16.7203
_cell_length_c 12.9996
_cell_angle_alpha 90.00
_cell_angle_beta 90.00
_cell_angle_gamma 90.00
_space_group_name_H-M_alt 'C m c m'
_space_group_IT_number 63
_space_group_name_Hall '-C 2c 2'
loop_
_atom_site_label
_atom_site_fract_x
_atom_site_fract_y
_atom_site_fract_z
_atom_site_occupancy
Pm1 0.0000 0.0808 0.1127 1
Pm2 0.0000 0.2864 0.0798 1
Pm3 0.0000 0.2974 0.7500 1
Pb1 0.0000 0.1155 0.6291 1
C1 0.0000 0.1748 0.2500 1
# **Energy**: -5.027 eV per atom
# **Energy of formation from the pure elements**: 0.0219 eV/atom
# **Volume**: 35.07 Å³ per atom
# **Crystal system**: orthorhombic
# **DOS(E_F)**: 30.17 states/eV per cell

---

Entry 10:
# Tl2MoP2, relaxed, DFT GGA-PBE
data_Tl2MoP2
_cell_length_a 3.3107
_cell_length_b 3.3107
_cell_length_c 18.7672
_cell_angle_alpha 90.00
_cell_angle_beta 90.00
_cell_angle_gamma 90.00
_space_group_name_H-M_alt 'I 4/m m m'
_space_group_IT_number 139
_space_group_name_Hall '-I 4 2'
loop_
_atom_site_label
_atom_site_fract_x
_atom_site_fract_y
_atom_site_fract_z
_atom_site_occupancy
Tl1 0.0000 0.0000 0.0982 1
Mo1 0.0000 0.0000 0.5000 1
P1 0.0000 0.5000 0.2500 1
# **Energy relative to the lowest polymorph listed for this composition**: 0 meV/atom
# **Energy**: -4.598 eV per atom
# **Energy of formation from the pure elements**: 0.6787 eV/atom
# **Volume**: 20.57 Å³ per atom
# **Crystal system**: tetragonal
# **DOS(E_F)**: 5.04 states/eV per cell